Density functional theory data (PBE) for AlGaPt2 after structural relaxation.

a b c (Å): 5.5980 5.5980 6.9227
angles (deg): 66.15 66.15 90.00
Atoms (fractional coordinates):
Al  0.5000  0.5000  0.0000
Al  0.2500  0.7500  0.5000
Pt  0.1299  0.6250  0.2500
Pt  0.8750  0.8701  0.7500
Pt  0.6201  0.1250  0.2500
Pt  0.3750  0.3799  0.7500
Ga  0.0000  0.0000  0.0000
Ga  0.7500  0.2500  0.5000

Results
ΔH_f (0 K)   -0.28 eV/atom
DFT total energy   -4.99 eV/atom


Density functional theory data (PBE) for AlGaPt after structural relaxation.

a b c (Å): 4.2190 4.2190 4.2190
angles (deg): 60.00 60.00 60.00
Atoms (fractional coordinates):
Al  0.0000  0.0000  0.0000
Ga  0.5000  0.5000  0.5000
Pt  0.2500  0.2500  0.2500

Results
ΔH_f (0 K)   -0.75 eV/atom
DFT total energy   -5.02 eV/atom


Density functional theory data (PBE) for AlGaPt2 after structural relaxation.

a b c (Å): 4.0216 4.0216 5.2871
angles (deg): 67.65 67.65 60.00
Atoms (fractional coordinates):
Al  0.6747  0.6747  0.9760
Pt  0.0683  0.0683  0.7950
Pt  0.2661  0.2661  0.2016
Ga  0.4908  0.4908  0.5275

Results
ΔH_f (0 K)   -0.70 eV/atom
DFT total energy   -5.41 eV/atom


Question: Among the records above, which one has the highest ΔH_f (0 K)?
Answer: number 1